# 1
# Li5In4, PBEsol geometry, DFT meta-GGA SCAN
# Formation energy = -414 meV/atom
# Offset from the most stable computed form = 0 meV per atom
# DOS(E_F) = 1.60 states/eV/f.u.
data_Li5In4
_cell_length_a 4.7123
_cell_length_b 4.7123
_cell_length_c 8.7729
_cell_angle_alpha 90.00
_cell_angle_beta 90.00
_cell_angle_gamma 120.00
_space_group_name_H-M_alt 'P -3 m 1'
_space_group_IT_number 164
_space_group_name_Hall '-P 3 2"'
loop_
_atom_site_label
_atom_site_type_symbol
_atom_site_fract_x
_atom_site_fract_y
_atom_site_fract_z
Li1 Li 0.0000 0.0000 0.0000
Li2 Li 0.3333 0.6667 0.1219
Li3 Li 0.3333 0.6667 0.4531
In1 In 0.0000 0.0000 0.3326
In2 In 0.3333 0.6667 0.7951


# 2
# CaC3Se, PBEsol geometry, DFT meta-GGA SCAN
# DOS(E_F) = 4.17 states/eV/f.u.
# Uncorrected formation energy = 3.6215 eV per atom
data_CaC3Se
_cell_length_a 4.390
_cell_length_b 4.390
_cell_length_c 4.390
_cell_angle_alpha 90.00
_cell_angle_beta 90.00
_cell_angle_gamma 90.00
_space_group_name_H-M_alt 'P m -3 m'
_space_group_IT_number 221
_space_group_name_Hall '-P 4 2 3'
loop_
_atom_site_label
_atom_site_type_symbol
_atom_site_fract_x
_atom_site_fract_y
_atom_site_fract_z
Ca1 Ca 0.000 0.000 0.000
C1 C 0.000 0.000 0.500
Se1 Se 0.500 0.500 0.500


# 3
# Sc2TaHg, PBEsol geometry, DFT meta-GGA SCAN
# Formation energy = -80 meV/atom
# DOS(E_F) = 4.13 states/eV/f.u.
data_Sc2TaHg
_cell_length_a 4.350
_cell_length_b 4.350
_cell_length_c 4.144
_cell_angle_alpha 90.00
_cell_angle_beta 90.00
_cell_angle_gamma 90.00
_space_group_name_H-M_alt 'P 4/m m m'
_space_group_IT_number 123
_space_group_name_Hall '-P 4 2'
loop_
_atom_site_label
_atom_site_type_symbol
_atom_site_fract_x
_atom_site_fract_y
_atom_site_fract_z
Sc1 Sc 0.000 0.500 0.000
Ta1 Ta 0.000 0.000 0.500
Hg1 Hg 0.500 0.500 0.500


# 4
# Mg2Tl, PBEsol geometry, DFT meta-GGA SCAN
# Formation energy = -109 meV/atom
# DOS(E_F) = 0.96 states/eV/f.u.
data_Mg2Tl
_cell_length_a 9.717
_cell_length_b 5.388
_cell_length_c 5.329
_cell_angle_alpha 90.00
_cell_angle_beta 90.00
_cell_angle_gamma 90.00
_space_group_name_H-M_alt 'C m c m'
_space_group_IT_number 63
_space_group_name_Hall '-C 2c 2'
loop_
_atom_site_label
_atom_site_type_symbol
_atom_site_fract_x
_atom_site_fract_y
_atom_site_fract_z
Mg1 Mg 0.166 0.208 0.250
Tl1 Tl 0.000 0.283 0.750


# 5
# NdSI, PBEsol geometry, DFT meta-GGA SCAN
# DOS(E_F) = 0.00 states/eV/f.u.
# Uncorrected formation energy = -2.0232 eV per atom
data_NdSI
_cell_length_a 6.983
_cell_length_b 13.983
_cell_length_c 7.242
_cell_angle_alpha 90.00
_cell_angle_beta 90.00
_cell_angle_gamma 90.00
_space_group_name_H-M_alt 'P b c a'
_space_group_IT_number 61
_space_group_name_Hall '-P 2ac 2ab'
loop_
_atom_site_label
_atom_site_type_symbol
_atom_site_fract_x
_atom_site_fract_y
_atom_site_fract_z
Nd1 Nd 0.242 0.082 0.031
S1 S 0.002 0.027 0.741
I1 I 0.173 0.701 0.402


# 6
# CaCuTc2, PBEsol geometry, DFT meta-GGA SCAN
# Formation energy = 508 meV/atom
# Offset from the most stable computed form = 93 meV per atom
# DOS(E_F) = 2.98 states/eV/f.u.
data_CaCuTc2
_cell_length_a 3.080
_cell_length_b 4.748
_cell_length_c 4.542
_cell_angle_alpha 90.00
_cell_angle_beta 100.65
_cell_angle_gamma 90.00
_space_group_name_H-M_alt 'P 1 2/m 1'
_space_group_IT_number 10
_space_group_name_Hall '-P 2y'
loop_
_atom_site_label
_atom_site_type_symbol
_atom_site_fract_x
_atom_site_fract_y
_atom_site_fract_z
Ca1 Ca 0.000 0.000 0.000
Cu1 Cu 0.500 0.000 0.500
Tc1 Tc 0.333 0.500 0.723


# 7
# SiRu2Se, PBEsol geometry, DFT meta-GGA SCAN
# Offset from the most stable computed form = 421 meV per atom
# DOS(E_F) = 2.97 states/eV/f.u.
# Uncorrected formation energy = 0.3208 eV per atom
data_SiRu2Se
_cell_length_a 2.888
_cell_length_b 4.001
_cell_length_c 4.976
_cell_angle_alpha 90.00
_cell_angle_beta 90.00
_cell_angle_gamma 90.00
_space_group_name_H-M_alt 'P m m m'
_space_group_IT_number 47
_space_group_name_Hall '-P 2 2'
loop_
_atom_site_label
_atom_site_type_symbol
_atom_site_fract_x
_atom_site_fract_y
_atom_site_fract_z
Si1 Si 0.000 0.000 0.000
Ru1 Ru 0.000 0.500 0.500
Ru2 Ru 0.500 0.500 0.000
Se1 Se 0.500 0.000 0.500


# 8
# LiCu2P5O16, PBEsol geometry, DFT meta-GGA SCAN
# Uncorrected formation energy = -2.0301 eV per atom
data_LiCu2P5O16
_cell_length_a 4.885
_cell_length_b 6.575
_cell_length_c 18.379
_cell_angle_alpha 90.00
_cell_angle_beta 91.23
_cell_angle_gamma 90.00
_space_group_name_H-M_alt 'P 1 c 1'
_space_group_IT_number 7
_space_group_name_Hall 'P -2yc'
loop_
_atom_site_label
_atom_site_type_symbol
_atom_site_fract_x
_atom_site_fract_y
_atom_site_fract_z
Li1 Li 0.000 0.081 0.000
Cu1 Cu 0.020 0.326 0.568
Cu2 Cu 0.522 0.318 0.885
P1 P 0.003 0.037 0.843
P2 P 0.044 0.372 0.400
P3 P 0.277 0.262 0.727
P4 P 0.503 0.370 0.054
P5 P 0.538 0.039 0.608
O1 O 0.053 0.200 0.336
O2 O 0.078 0.101 0.763
O3 O 0.118 0.381 0.670
O4 O 0.191 0.133 0.901
O5 O 0.197 0.415 0.043
O6 O 0.327 0.122 0.555
O7 O 0.342 0.434 0.412
O8 O 0.423 0.386 0.784
O9 O 0.495 0.115 0.689
O10 O 0.502 0.199 0.119
O11 O 0.632 0.261 0.989
O12 O 0.666 0.454 0.586
O13 O 0.700 0.064 0.855
O14 O 0.838 0.063 0.590
O15 O 0.867 0.459 0.868
O16 O 0.930 0.258 0.466


What is the formula in the third record? Sc2TaHg